No. 1
Material: LiYCrW2
Method: DFT, SCAN
State: single point on PBEsol structure

Results
The total energy comes out at -36.09 eV/atom. The value obtained for the formation enthalpy at 0 K is 145.3 kJ/mol of atoms.

Lattice parameters (Å, degrees): 4.2674 4.2674 4.7465 90.00 90.00 90.00
Atoms (fractional coordinates):
Li: 0.0000 0.0000 0.0000
Cr: 0.5000 0.5000 0.5000
Y: 0.0000 0.0000 0.5000
W: 0.0000 0.5000 0.0000
W: 0.5000 0.0000 0.0000

=====

No. 2
Material: SbAuN3
Method: DFT, SCAN
State: single point on PBEsol structure

Results
The total energy comes out at -25.06 eV/atom. The value obtained for the uncorrected formation energy is 1796 meV per atom.

Lattice parameters (Å, degrees): 4.0556 4.0556 4.0556 90.00 90.00 90.00
Atoms (fractional coordinates):
Au: 0.5000 0.5000 0.5000
N: 0.0000 0.5000 0.0000
N: 0.5000 0.0000 0.0000
Sb: 0.0000 0.0000 0.0000
N: 0.0000 0.0000 0.5000

=====

No. 3
Material: Ca2Re
Method: DFT, SCAN
State: single point on PBEsol structure

Results
The total energy comes out at -29.07 eV/atom. The value obtained for the formation enthalpy at 0 K is 102.9 kJ/mol of atoms. The value obtained for the energy above the most stable polymorph in this dataset is 240 meV/atom.

Lattice parameters (Å, degrees): 5.0118 5.0118 6.3710 90.00 90.00 120.00
Atoms (fractional coordinates):
Ca: 0.3333 0.6667 0.7500
Ca: 0.6667 0.3333 0.2500
Ca: 0.0000 0.0000 0.0000
Re: 0.6667 0.3333 0.7500
Re: 0.3333 0.6667 0.2500
Ca: 0.0000 0.0000 0.5000

=====

No. 4
Material: ReWCl2
Method: DFT, SCAN
State: single point on PBEsol structure

Results
The total energy comes out at -39.07 eV/atom. The value obtained for the energy above the most stable polymorph in this dataset is 342 meV/atom. The value obtained for the uncorrected formation energy is 118 meV per atom.

Lattice parameters (Å, degrees): 2.9507 2.9507 9.1920 80.76 80.76 60.00
Atoms (fractional coordinates):
Cl: 0.9819 0.9819 0.0544
Re: 0.5029 0.5029 0.4914
W: 0.2476 0.2476 0.2572
Cl: 0.7677 0.7677 0.6970

=====

No. 5
Material: RbPt
Method: DFT, SCAN
State: single point on PBEsol structure

Results
The total energy comes out at -45.62 eV/atom. The value obtained for the formation enthalpy at 0 K is -15.2 kJ/mol of atoms.

Lattice parameters (Å, degrees): 4.3860 4.3860 9.6900 76.92 76.92 60.00
Atoms (fractional coordinates):
Rb: 0.9208 0.9208 0.2375
Pt: 0.6667 0.6667 0.0000
Rb: 0.0792 0.0792 0.7625
Pt: 0.3333 0.3333 0.0000

=====

No. 6
Material: ZrI2O2
Method: DFT, SCAN
State: single point on PBEsol structure

Results
The total energy comes out at -23.08 eV/atom. The value obtained for the uncorrected formation energy is 244 meV per atom.

Lattice parameters (Å, degrees): 4.0967 4.0967 6.7411 90.00 90.00 90.00
Atoms (fractional coordinates):
I: 0.0000 0.0000 0.5000
O: 0.5000 0.0000 0.0000
O: 0.0000 0.5000 0.0000
Zr: 0.5000 0.5000 0.5000
I: 0.0000 0.0000 0.0000

=====

No. 7
Material: BaBe2Sb
Method: DFT, SCAN
State: single point on PBEsol structure

Results
The total energy comes out at -20.72 eV/atom. The value obtained for the uncorrected formation energy is 664 meV per atom.

Lattice parameters (Å, degrees): 5.0860 5.0860 5.0860 60.00 60.00 60.00
Atoms (fractional coordinates):
Be: 0.7500 0.7500 0.7500
Be: 0.0000 0.0000 0.0000
Sb: 0.2500 0.2500 0.2500
Ba: 0.5000 0.5000 0.5000

=====

No. 8
Material: NbAsCl2
Method: DFT, SCAN
State: single point on PBEsol structure

Results
The total energy comes out at -17.05 eV/atom. The value obtained for the uncorrected formation energy is 273 meV per atom.

Lattice parameters (Å, degrees): 4.5387 4.5387 4.5387 60.00 60.00 60.00
Atoms (fractional coordinates):
Cl: 0.2500 0.2500 0.2500
Cl: 0.7500 0.7500 0.7500
Nb: 0.5000 0.5000 0.5000
As: 0.0000 0.0000 0.0000